[1]
Below is a relaxed structure of MnCr2Ru, with properties calculated at the PBE level.

## Properties
The polymorph energy (0 for the lowest one) comes out at 0.049 eV per atom. As for the formation enthalpy at 0 K: 115 meV/atom.

Cell and atoms, written as POSCAR:
```
MnCr2Ru
1.0
2.952 0.000 0.000
0.000 4.102 0.000
0.000 0.000 8.200
Mn Cr Ru
2 4 2
Direct
0.000 0.000 0.000 Mn
0.500 0.500 0.500 Mn
0.000 0.500 0.256 Cr
0.000 0.500 0.744 Cr
0.500 0.000 0.244 Cr
0.500 0.000 0.756 Cr
0.000 0.000 0.500 Ru
0.500 0.500 0.000 Ru
```

[2]
Below is a relaxed structure of CaTaZn2Pd, with properties calculated at the PBE level.

## Properties
As for the formation enthalpy at 0 K: 755 meV/atom.

Cell and atoms, written as POSCAR:
```
CaTaZn2Pd
1.0
4.803 0.000 0.000
0.000 4.803 0.000
0.000 0.000 5.050
Ca Ta Zn Pd
1 1 2 1
Direct
0.000 0.000 0.000 Ca
0.500 0.500 0.000 Ta
0.000 0.500 0.500 Zn
0.500 0.000 0.500 Zn
0.000 0.000 0.500 Pd
```